ZrInRe2 PBE relaxed; density of states at the Fermi level = 1.064 states/eV/atom; energy of formation = 0.52 eV/f.u.; VASP energy = -8.915 eV per atom
1.0
3.2463 0.0000 0.0000
0.0000 4.6340 0.0000
0.0000 0.0000 9.5517
Zr In Re
2 2 4
Cartesian
0.0000 0.0000 0.0000
1.6231 2.3170 4.7758
0.0000 2.3170 7.4105
1.6231 0.0000 2.6346
0.0000 0.0000 5.0400
0.0000 2.3170 2.3415
1.6231 0.0000 7.1173
1.6231 2.3170 0.2642